No. 1
Computed, not measured: a relaxed AlGa2H2 crystal at the PBE level of DFT.

Cell lengths 3.113, 3.113, 12.875 Å; angles 90.00, 90.00, 90.00 degrees
Space group I4/mmm (No. 139)
Symmetry-distinct sites (fractional):
Al  0.000  0.000  0.000 [2 per cell]
Ga  0.000  0.000  0.352 [4 per cell]
H  0.000  0.500  0.250 [4 per cell]

Output
total magnetic moment = 0.00 μB/cell
E_tot = -2.976 eV/atom

---

No. 2
Computed, not measured: a relaxed CuTeAs2 crystal at the PBE level of DFT.

Cell lengths 3.416, 4.558, 10.629 Å; angles 90.00, 90.00, 90.00 degrees
Space group Immm (No. 71)
Symmetry-distinct sites (fractional):
Cu  0.000  0.000  0.000 [2 per cell]
Te  0.000  0.000  0.500 [2 per cell]
As  0.000  0.500  0.318 [4 per cell]

Output
total magnetic moment = 0.00 μB/cell
ΔE_f (raw) = 321 meV per atom
E_tot = -3.813 eV/atom

---

No. 3
Computed, not measured: a relaxed NiI crystal at the PBE level of DFT.

Cell lengths 4.054, 4.056, 7.464 Å; angles 81.91, 81.70, 62.02 degrees
Space group P1 (No. 1)
Symmetry-distinct sites (fractional):
Ni  0.000  0.000  0.000 [1 per cell]
Ni  0.461  0.464  0.183 [1 per cell]
I  0.098  0.102  0.329 [1 per cell]
I  0.690  0.688  0.855 [1 per cell]

Output
total magnetic moment = 1.75 μB/cell
ΔE_f (raw) = 84 meV per atom
E_tot = -3.581 eV/atom

---

No. 4
Computed, not measured: a relaxed TcTe2W crystal at the PBE level of DFT.

Cell lengths 8.386, 3.634, 7.093 Å; angles 90.00, 104.05, 90.00 degrees
Space group Cm (No. 8)
Symmetry-distinct sites (fractional):
Tc  0.000  0.000  0.000 [2 per cell]
Te  0.237  0.000  0.780 [2 per cell]
Te  0.469  0.000  0.301 [2 per cell]
W  0.212  0.500  0.083 [2 per cell]

Output
total magnetic moment = 0.00 μB/cell
ΔE_f (raw) = 278 meV per atom
E_tot = -7.123 eV/atom

---

No. 5
Computed, not measured: a relaxed Ce2GeRu crystal at the PBE level of DFT.

Cell lengths 3.8154, 3.8154, 27.8348 Å; angles 90.00, 90.00, 120.00 degrees
Space group R-3m (No. 166, hexagonal axes)
Symmetry-distinct sites (fractional):
Ce  0.0000  0.0000  0.1082 [6 per cell]
Ge  0.0000  0.0000  0.0000 [3 per cell]
Ru  0.0000  0.0000  0.5000 [3 per cell]

Output
total magnetic moment = 2.31 μB/cell
energy of formation from the pure elements = 0.5 eV/f.u.
E_tot = -6.313 eV/atom

---

No. 6
Computed, not measured: a relaxed Nb2CoRe crystal at the PBE level of DFT.

Cell lengths 2.680, 4.900, 9.940 Å; angles 90.00, 90.00, 90.00 degrees
Space group Immm (No. 71)
Symmetry-distinct sites (fractional):
Nb  0.000  0.000  0.231 [4 per cell]
Co  0.000  0.000  0.000 [2 per cell]
Re  0.000  0.000  0.500 [2 per cell]

Output
total magnetic moment = 0.00 μB/cell
energy of formation from the pure elements = 2.6 eV/f.u.
E_tot = -9.267 eV/atom

---

No. 7
Computed, not measured: a relaxed Ca2Sc2Zn crystal at the PBE level of DFT.

Cell lengths 7.276, 7.276, 5.559 Å; angles 90.00, 90.00, 90.00 degrees
Space group P4/mbm (No. 127)
Symmetry-distinct sites (fractional):
Ca  0.171  0.329  0.000 [4 per cell]
Sc  0.149  0.649  0.500 [4 per cell]
Zn  0.000  0.000  0.500 [2 per cell]

Output
total magnetic moment = 1.97 μB/cell
energy of formation from the pure elements = 0.9 eV/f.u.
E_tot = -3.411 eV/atom

---

No. 8
Computed, not measured: a relaxed EuGaAu crystal at the PBE level of DFT.

Cell lengths 6.845, 6.845, 6.845 Å; angles 90.00, 90.00, 90.00 degrees
Space group F-43m (No. 216)
Symmetry-distinct sites (fractional):
Eu  0.000  0.000  0.000 [4 per cell]
Ga  0.000  0.000  0.500 [4 per cell]
Au  0.250  0.250  0.750 [4 per cell]

Output
total magnetic moment = 29.57 μB/cell
energy of formation from the pure elements = -1.4 eV/f.u.
E_tot = -6.007 eV/atom